[1]
# PBE Sr2LaZnO, optimized geometry
data_Sr2LaZnO
_chemical_formula_sum 'Sr2 La1 Zn1 O1'
_symmetry_space_group_name_H-M 'P 4/m m m'
_symmetry_Int_Tables_number 123
_symmetry_space_group_name_Hall '-P 4 2'
_cell_length_a 5.206
_cell_length_b 5.206
_cell_length_c 5.002
_cell_angle_alpha 90.00
_cell_angle_beta 90.00
_cell_angle_gamma 90.00
loop_
_atom_site_label
_atom_site_type_symbol
_atom_site_fract_x
_atom_site_fract_y
_atom_site_fract_z
Sr1 Sr 0.000 0.500 0.000
La1 La 0.000 0.000 0.500
Zn1 Zn 0.500 0.500 0.500
O1 O 0.000 0.000 0.000
# Formation energy (no corrections) in eV/atom: -1.079
# Calculated volume in Å³ per cell: 136

=====

[2]
# PBE CrNiC3, optimized geometry
data_CrNiC3
_chemical_formula_sum 'Cr1 Ni1 C3'
_symmetry_space_group_name_H-M 'P m -3 m'
_symmetry_Int_Tables_number 221
_symmetry_space_group_name_Hall '-P 4 2 3'
_cell_length_a 3.668
_cell_length_b 3.668
_cell_length_c 3.668
_cell_angle_alpha 90.00
_cell_angle_beta 90.00
_cell_angle_gamma 90.00
loop_
_atom_site_label
_atom_site_type_symbol
_atom_site_fract_x
_atom_site_fract_y
_atom_site_fract_z
Cr1 Cr 0.000 0.000 0.000
Ni1 Ni 0.500 0.500 0.500
C1 C 0.000 0.500 0.500
# ΔE_f in meV/atom: 2412
# Calculated volume in Å³ per cell: 49

=====

Question: Which of these has the lowest calculated volume?
Answer: CrNiC3